! SrCoTeO6 PBE+U relaxed; values from VASP
&SYSTEM
  ibrav = 0, nat = 9, ntyp = 4
/
ATOMIC_SPECIES
Sr 87.62 Sr.upf
Co 58.93 Co.upf
Te 127.60 Te.upf
O 16.00 O.upf
ATOMIC_POSITIONS crystal
Sr 0.000 0.000 0.000
Co 0.330 0.670 0.500
Te 0.667 0.333 0.500
O 0.007 0.383 0.699
O 0.011 0.621 0.301
O 0.379 0.989 0.699
O 0.381 0.387 0.300
O 0.613 0.619 0.700
O 0.617 0.993 0.301
CELL_PARAMETERS angstrom
2.556 -4.397 0.000
2.556 4.397 0.000
-0.044 0.000 5.485
! Space group: C2
! Total energy in hartree per atom: -0.2165